No. 1
This record from Alexandria via LeMat-Bulk describes crystalline SmHo5Th at its relaxed geometry. The functional is PBE.

a = 10.5739 Å, b = 6.5770 Å, c = 7.0248 Å
α = 117.91°, β = 138.82°, γ = 90.00°
Last column: nearest neighbours and their distance in Å.
Sites, in units of the cell vectors:
Sm1 0.7193 0.0000 0.0000  2 Th 3.45, 2 Ho 3.46
Th1 0.1111 0.5000 0.0000  3 Ho 3.08-3.27
Ho1 0.2983 0.2289 0.4577  4 Ho 2.98-3.27
Ho2 0.3707 0.7711 0.0000  3 Ho 3.01-3.27, 1 Th 3.27
Ho3 0.8406 0.7711 0.5423  4 Ho 2.98-3.27
Ho4 0.3707 0.2289 0.0000  3 Ho 3.01-3.27, 1 Th 3.27
Ho5 0.8201 0.5000 0.0000  1 Th 3.08, 2 Ho 3.18

**Size of the total moment**: 0.000 μB per atom
**E**: -33.02 eV per cell
**Fermi-level density of states**: 1.50 states/eV/atom



No. 2
This record from Alexandria via LeMat-Bulk describes crystalline PuAlN at its relaxed geometry. The functional is PBE.

a = 2.7473 Å, b = 2.7473 Å, c = 6.6662 Å
α = 101.89°, β = 101.89°, γ = 90.00°
Last column: nearest neighbours and their distance in Å.
Sites, in units of the cell vectors:
Pu1 0.5840 0.5840 0.1680  1 N 2.61, 4 Pu 2.75
N1 0.3791 0.3791 0.7583  4 Al 1.95
Al1 0.8869 0.8869 0.7737  4 N 1.95

**Size of the total moment**: 1.590 μB per atom
**ΔE_f (raw)**: -0.69 eV per formula unit
**E**: -27.09 eV per cell
**Fermi-level density of states**: 1.50 states/eV/atom



No. 3
This record from Alexandria via LeMat-Bulk describes crystalline TbSi2Pd7 at its relaxed geometry. The functional is PBE.

a = 4.0441 Å, b = 4.0441 Å, c = 10.4827 Å
α = 101.12°, β = 101.12°, γ = 90.00°
Last column: nearest neighbours and their distance in Å.
Sites, in units of the cell vectors:
Pd1 0.6080 0.1080 0.2160  2 Si 2.44
Pd2 0.2500 0.7500 0.5000  4 Si 2.52
Pd3 0.7500 0.2500 0.5000  4 Si 2.52
Pd4 0.8920 0.3920 0.7840  2 Si 2.44
Pd5 0.5000 0.5000 0.0000  4 Tb 2.86, 8 Pd 2.97
Pd6 0.1080 0.6080 0.2160  2 Si 2.44
Pd7 0.3920 0.8920 0.7840  2 Si 2.44
Si1 0.6756 0.6756 0.3513  8 Pd 2.44-2.52
Si2 0.3244 0.3244 0.6487  8 Pd 2.44-2.52
Tb1 0.0000 0.0000 0.0000  12 Pd 2.86-2.97

**Size of the total moment**: 0.000 μB per atom
**ΔE_f (raw)**: -7.52 eV per formula unit
**E**: -59.35 eV per cell
**Fermi-level density of states**: 0.37 states/eV/atom



No. 4
This record from Alexandria via LeMat-Bulk describes crystalline HfScReMo2 at its relaxed geometry. The functional is PBE.

a = 4.8159 Å, b = 4.8159 Å, c = 4.9209 Å
α = 90.00°, β = 90.00°, γ = 90.00°
Last column: nearest neighbours and their distance in Å.
Sites, in units of the cell vectors:
Sc1 0.5000 0.5000 0.5000  4 Hf 3.41, 8 Mo 3.44
Hf1 0.0000 0.0000 0.5000  2 Re 2.46
Mo1 0.0000 0.5000 0.0000  2 Re 2.41
Mo2 0.5000 0.0000 0.0000  2 Re 2.41
Re1 0.0000 0.0000 0.0000  4 Mo 2.41, 2 Hf 2.46

**Size of the total moment**: 0.145 μB per atom
**E**: -45.49 eV per cell
**Fermi-level density of states**: 1.32 states/eV/atom



No. 5
This record from Alexandria via LeMat-Bulk describes crystalline Sm2Dy2Te7 at its relaxed geometry. The functional is PBE.

a = 7.8258 Å, b = 6.9329 Å, c = 7.8258 Å
α = 90.01°, β = 89.84°, γ = 89.99°
Last column: nearest neighbours and their distance in Å.
Sites, in units of the cell vectors:
Sm1 0.7346 0.0001 0.2654  3 Te 2.93-3.12
Sm2 0.2654 0.9999 0.7346  3 Te 2.93-3.12
Te1 0.0000 0.0000 0.0000  2 Sm 2.93
Te2 0.5001 0.7494 0.4999  2 Dy 3.00, 2 Sm 3.12
Te3 0.4999 0.2506 0.5001  2 Dy 3.00, 2 Sm 3.12
Te4 0.0000 0.7412 0.5000  2 Dy 3.25, 2 Sm 3.30-3.31, 2 Te 3.35-3.59
Te5 0.0000 0.2588 0.5000  2 Dy 3.25, 2 Sm 3.30-3.31, 2 Te 3.35-3.59
Te6 0.5000 0.7412 0.0000  2 Dy 3.25, 2 Sm 3.30-3.31, 2 Te 3.35-3.59
Te7 0.5000 0.2588 0.0000  2 Dy 3.25, 2 Sm 3.30-3.31, 2 Te 3.35-3.59
Dy1 0.2793 0.5000 0.2793  6 Te 3.00-3.25
Dy2 0.7207 0.5000 0.7207  6 Te 3.00-3.25

**Size of the total moment**: 0.000 μB per atom
**ΔE_f (raw)**: -11.00 eV per formula unit
**E**: -51.64 eV per cell
**Fermi-level density of states**: 0.45 states/eV/atom



No. 6
This record from Alexandria via LeMat-Bulk describes crystalline Li2TaGeH at its relaxed geometry. The functional is PBE.

a = 3.8171 Å, b = 3.8171 Å, c = 4.1384 Å
α = 90.00°, β = 90.00°, γ = 90.00°
Last column: nearest neighbours and their distance in Å.
Sites, in units of the cell vectors:
H1 0.0000 0.0000 0.0000  4 Li 1.91, 2 Ta 2.07
Ge1 0.5000 0.5000 0.5000  4 Ta 2.70, 8 Li 2.81
Li1 0.0000 0.5000 0.0000  2 H 1.91
Li2 0.5000 0.0000 0.0000  2 H 1.91
Ta1 0.0000 0.0000 0.5000  2 H 2.07

**Size of the total moment**: 0.000 μB per atom
**E**: -24.55 eV per cell
**Fermi-level density of states**: 0.22 states/eV/atom



No. 7
This record from Alexandria via LeMat-Bulk describes crystalline NaTlHgPb at its relaxed geometry. The functional is PBE.

a = 5.4090 Å, b = 5.4090 Å, c = 5.4090 Å
α = 60.00°, β = 60.00°, γ = 60.00°
Last column: nearest neighbours and their distance in Å.
Sites, in units of the cell vectors:
Hg1 0.7500 0.7500 0.7500  4 Pb 3.31, 4 Na 3.31
Tl1 0.2500 0.2500 0.2500  4 Pb 3.31, 4 Na 3.31
Pb1 0.5000 0.5000 0.5000  4 Tl 3.31, 4 Hg 3.31
Na1 0.0000 0.0000 0.0000  4 Hg 3.31, 4 Tl 3.31

**Size of the total moment**: 0.000 μB per atom
**E**: -8.07 eV per cell
**Fermi-level density of states**: 0.54 states/eV/atom



No. 8
This record from Alexandria via LeMat-Bulk describes crystalline HfPtRh3 at its relaxed geometry. The functional is PBE.

a = 4.7261 Å, b = 4.7261 Å, c = 4.7261 Å
α = 90.00°, β = 90.00°, γ = 90.00°
Last column: nearest neighbours and their distance in Å.
Sites, in units of the cell vectors:
Pt1 0.0000 0.0000 0.0000  6 Rh 2.36
Rh1 0.0000 0.0000 0.5000  2 Pt 2.36
Rh2 0.0000 0.5000 0.0000  2 Pt 2.36
Rh3 0.5000 0.0000 0.0000  2 Pt 2.36
Hf1 0.5000 0.5000 0.5000  12 Rh 3.34

**Size of the total moment**: 0.256 μB per atom
**E**: -32.69 eV per cell
**Fermi-level density of states**: 1.55 states/eV/atom



No. 9
This record from Alexandria via LeMat-Bulk describes crystalline Ho6Mg3Ni at its relaxed geometry. The functional is PBE.

a = 5.1309 Å, b = 9.3318 Å, c = 11.2074 Å
α = 90.00°, β = 90.00°, γ = 90.00°
Last column: nearest neighbours and their distance in Å.
Sites, in units of the cell vectors:
Ho1 0.0000 0.9793 0.2298  1 Ni 2.58
Ho2 0.5000 0.4793 0.2702  1 Ni 2.58
Ho3 0.9999 0.6559 0.5722  2 Ni 3.06, 1 Mg 3.31, 3 Ho 3.33-3.36
Ho4 0.5000 0.5207 0.7298  1 Ni 2.58
Ho5 0.4999 0.8027 0.3990  1 Ni 3.04, 1 Ho 3.35, 2 Mg 3.35
Ho6 0.0000 0.0207 0.7702  1 Ni 2.58
Ho7 0.0001 0.3441 0.4278  2 Ni 3.06, 1 Mg 3.31, 3 Ho 3.33-3.36
Ho8 0.0001 0.3027 0.1010  1 Ni 3.04, 1 Ho 3.35, 2 Mg 3.35
Ho9 0.9999 0.6973 0.8990  1 Ni 3.04, 1 Ho 3.35, 2 Mg 3.35
Ho10 0.4999 0.8441 0.0722  2 Ni 3.06, 1 Mg 3.31, 3 Ho 3.33-3.36
Ho11 0.5001 0.1973 0.6010  1 Ni 3.04, 1 Ho 3.35, 2 Mg 3.35
Ho12 0.5001 0.1559 0.9278  2 Ni 3.06, 1 Mg 3.31, 3 Ho 3.33-3.36
Mg1 0.5001 0.1491 0.2895  4 Ho 3.09-3.46
Mg2 0.9999 0.6491 0.2106  4 Ho 3.09-3.46
Mg3 0.0000 0.0000 0.5000  8 Ho 3.03-3.35
Mg4 0.4999 0.8509 0.7105  4 Ho 3.09-3.46
Mg5 0.0001 0.3509 0.7894  4 Ho 3.09-3.46
Mg6 0.5000 0.5000 0.0000  8 Ho 3.03-3.35
Ni1 0.0000 0.0000 0.0000  2 Ho 2.58
Ni2 0.5000 0.5000 0.5000  2 Ho 2.58

**Size of the total moment**: 0.000 μB per atom
**E**: -76.79 eV per cell
**Fermi-level density of states**: 0.83 states/eV/atom



No. 10
This record from Alexandria via LeMat-Bulk describes crystalline KPdBr at its relaxed geometry. The functional is PBE.

a = 12.2650 Å, b = 6.1599 Å, c = 6.1599 Å
α = 142.93°, β = 137.98°, γ = 42.02°
Last column: nearest neighbours and their distance in Å.
Sites, in units of the cell vectors:
Br1 0.8165 0.7343 0.2657  2 Pd 2.61
Br2 0.4710 0.7545 0.2455  2 Pd 2.63
Pd1 0.2471 0.4763 0.5237  2 Br 2.63, 2 Pd 2.64
Pd2 0.0188 0.1351 0.8649  2 Br 2.61, 2 Pd 2.64
K1 0.3450 0.1280 0.8720  3 Pd 3.22-3.43, 4 Br 3.29-3.59
K2 0.8309 0.9969 0.0031  5 Br 3.21-3.40, 2 Pd 3.43

**Size of the total moment**: 0.000 μB per atom
**ΔE_f (raw)**: -2.00 eV per formula unit
**E**: -19.93 eV per cell
**Fermi-level density of states**: 0.00 states/eV/atom



Which of these has the highest size of the total moment? PuAlN